1.
VASP calculation (PBE) on an optimized crystal structure of PmTm2Mg.

Cell: 5.494 5.494 5.494 Å, 60.00 60.00 60.00°
Positions (direct):
1 Tm 0.750 0.750 0.750
2 Tm 0.250 0.250 0.250
3 Mg 0.500 0.500 0.500
4 Pm 0.000 0.000 0.000

Results
Density of states at the Fermi level   1.440 states/eV/atom
Energy of formation   102 meV/atom
Magnetization   0.37 μB/cell
Symmetry   Fm-3m
Excess energy over the best structure of this formula in the dataset   128.8 meV per atom

=====

2.
VASP calculation (PBE) on an optimized crystal structure of PmTmMg3.

Cell: 7.247 7.247 7.247 Å, 65.34 65.34 65.34°
Positions (direct):
1 Mg 0.521 0.764 0.971
2 Tm 0.907 0.907 0.907
3 Pm 0.594 0.594 0.594
4 Mg 0.479 0.236 0.029
5 Tm 0.093 0.093 0.093
6 Mg 0.764 0.971 0.521
7 Mg 0.236 0.029 0.479
8 Mg 0.971 0.521 0.764
9 Mg 0.029 0.479 0.236
10 Pm 0.406 0.406 0.406

Results
Density of states at the Fermi level   0.733 states/eV/atom
Energy of formation   382 meV/atom
Magnetization   0.00 μB/cell
Symmetry   R-3
Excess energy over the best structure of this formula in the dataset   250.2 meV per atom

=====

3.
VASP calculation (PBE) on an optimized crystal structure of Pm3Tm12Mg.

Cell: 4.958 4.958 19.835 Å, 90.00 90.00 90.00°
Positions (direct):
1 Pm 0.000 0.000 0.500
2 Tm 0.000 0.500 0.122
3 Mg 0.000 0.000 0.000
4 Pm 0.000 0.000 0.752
5 Tm 0.500 0.500 0.500
6 Tm 0.500 0.000 0.878
7 Tm 0.000 0.500 0.878
8 Tm 0.000 0.500 0.373
9 Tm 0.500 0.000 0.122
10 Tm 0.000 0.500 0.627
11 Tm 0.500 0.000 0.373
12 Tm 0.500 0.000 0.627
13 Tm 0.500 0.500 0.755
14 Tm 0.500 0.500 0.245
15 Pm 0.000 0.000 0.248
16 Tm 0.500 0.500 0.000

Results
Density of states at the Fermi level   1.283 states/eV/atom
Energy of formation   27 meV/atom
Magnetization   0.00 μB/cell
Symmetry   P4/mmm

=====

4.
VASP calculation (PBE) on an optimized crystal structure of Pm2Tm6Mg.

Cell: 3.518 3.518 25.903 Å, 90.00 90.00 120.00°
Positions (direct):
1 Tm 0.333 0.667 0.105
2 Tm 0.000 0.000 0.788
3 Tm 0.333 0.667 0.895
4 Pm 0.333 0.667 0.673
5 Tm 0.000 0.000 0.436
6 Pm 0.333 0.667 0.327
7 Tm 0.000 0.000 0.564
8 Tm 0.000 0.000 0.212
9 Mg 0.000 0.000 0.000

Results
Density of states at the Fermi level   1.668 states/eV/atom
Energy of formation   82 meV/atom
Magnetization   0.96 μB/cell
Symmetry   P-6m2
Excess energy over the best structure of this formula in the dataset   51.8 meV per atom

=====

5.
VASP calculation (PBE) on an optimized crystal structure of Pm2TmMg2.

Cell: 3.809 5.439 14.182 Å, 90.00 97.76 90.00°
Positions (direct):
1 Tm 0.850 0.750 0.699
2 Mg 0.639 0.750 0.280
3 Mg 0.361 0.250 0.720
4 Pm 0.764 0.250 0.526
5 Pm 0.236 0.750 0.474
6 Mg 0.445 0.750 0.889
7 Pm 0.955 0.250 0.910
8 Pm 0.045 0.750 0.090
9 Tm 0.150 0.250 0.301
10 Mg 0.555 0.250 0.111

Results
Density of states at the Fermi level   1.077 states/eV/atom
Energy of formation   -60 meV/atom
Magnetization   0.00 μB/cell
Symmetry   P2_1/m
Excess energy over the best structure of this formula in the dataset   0.0 meV per atom

=====

6.
VASP calculation (PBE) on an optimized crystal structure of Pm2TmMg2.

Cell: 5.228 6.000 6.000 Å, 70.86 64.17 64.17°
Positions (direct):
1 Mg 0.500 0.710 0.290
2 Pm 0.805 0.695 0.695
3 Pm 0.195 0.305 0.305
4 Tm 0.000 0.000 0.000
5 Mg 0.500 0.290 0.710

Results
Density of states at the Fermi level   1.481 states/eV/atom
Energy of formation   45 meV/atom
Magnetization   0.00 μB/cell
Symmetry   Immm
Excess energy over the best structure of this formula in the dataset   105.2 meV per atom

=====

7.
VASP calculation (PBE) on an optimized crystal structure of PmTmMg.

Cell: 5.449 3.434 10.900 Å, 89.99 60.00 90.00°
Positions (direct):
1 Tm 0.239 0.642 0.402
2 Pm 0.555 0.142 0.587
3 Mg 0.896 0.141 0.245
4 Mg 0.558 0.142 0.084
5 Tm 0.215 0.642 0.927
6 Pm 0.900 0.142 0.742

Results
Density of states at the Fermi level   1.274 states/eV/atom
Energy of formation   31 meV/atom
Magnetization   0.00 μB/cell
Symmetry   Pmc2_1
Excess energy over the best structure of this formula in the dataset   69.2 meV per atom

=====

8.
VASP calculation (PBE) on an optimized crystal structure of PmTm2Mg.

Cell: 3.485 3.485 11.589 Å, 79.31 79.31 60.48°
Positions (direct):
1 Mg 0.513 0.513 0.500
2 Tm 0.220 0.220 0.256
3 Pm 0.662 0.662 0.000
4 Tm 0.104 0.104 0.744

Results
Density of states at the Fermi level   1.446 states/eV/atom
Energy of formation   53 meV/atom
Magnetization   0.00 μB/cell
Symmetry   Cm
Excess energy over the best structure of this formula in the dataset   79.5 meV per atom

=====

9.
VASP calculation (PBE) on an optimized crystal structure of Pm5Tm2Mg.

Cell: 7.217 7.219 6.740 Å, 105.59 105.58 119.89°
Positions (direct):
1 Pm 0.326 0.229 0.000
2 Mg 0.821 0.734 0.000
3 Tm 0.741 0.328 0.513
4 Pm 0.808 0.229 0.000
5 Tm 0.227 0.815 0.487
6 Pm 0.326 0.748 0.000
7 Pm 0.736 0.819 0.499
8 Pm 0.237 0.319 0.501

Results
Density of states at the Fermi level   1.181 states/eV/atom
Energy of formation   -2 meV/atom
Magnetization   0.00 μB/cell
Symmetry   Fmm2
Excess energy over the best structure of this formula in the dataset   0.0 meV per atom

=====

10.
VASP calculation (PBE) on an optimized crystal structure of PmTm5Mg6.

Cell: 5.335 7.521 8.449 Å, 90.00 71.60 90.00°
Positions (direct):
1 Tm 0.665 0.500 0.670
2 Mg 0.500 0.253 0.000
3 Mg 0.167 0.747 0.664
4 Mg 0.833 0.253 0.336
5 Mg 0.833 0.747 0.336
6 Mg 0.500 0.747 0.000
7 Tm 0.332 0.000 0.337
8 Pm 0.000 0.000 0.000
9 Tm 0.000 0.500 0.000
10 Mg 0.167 0.253 0.664
11 Tm 0.335 0.500 0.330
12 Tm 0.668 0.000 0.663

Results
Density of states at the Fermi level   1.331 states/eV/atom
Energy of formation   -65 meV/atom
Magnetization   0.00 μB/cell
Symmetry   Cmmm

=====

11.
VASP calculation (PBE) on an optimized crystal structure of PmTm7Mg4.

Cell: 5.649 9.802 7.288 Å, 80.64 67.20 73.25°
Positions (direct):
1 Tm 0.944 0.385 0.727
2 Tm 0.671 0.391 0.268
3 Mg 0.312 0.335 0.042
4 Tm 0.056 0.615 0.273
5 Tm 0.779 0.882 0.560
6 Mg 0.688 0.665 0.958
7 Tm 0.221 0.118 0.440
8 Tm 0.500 0.000 0.000
9 Mg 0.435 0.784 0.347
10 Mg 0.565 0.216 0.653
11 Pm 0.000 0.000 0.000
12 Tm 0.329 0.609 0.732

Results
Density of states at the Fermi level   1.091 states/eV/atom
Energy of formation   246 meV/atom
Magnetization   0.00 μB/cell
Symmetry   C2/m

=====

12.
VASP calculation (PBE) on an optimized crystal structure of Pm3Tm6Mg.

Cell: 5.018 11.020 11.151 Å, 90.77 90.00 90.00°
Positions (direct):
1 Tm 0.250 0.047 0.898
2 Tm 0.750 0.143 0.692
3 Tm 0.750 0.850 0.805
4 Tm 0.250 0.857 0.308
5 Pm 0.750 0.653 0.204
6 Mg 0.750 0.051 0.398
7 Pm 0.750 0.247 0.996
8 Tm 0.750 0.759 0.503
9 Mg 0.250 0.949 0.602
10 Pm 0.750 0.449 0.599
11 Tm 0.750 0.553 0.898
12 Tm 0.750 0.344 0.300
13 Pm 0.250 0.753 0.004
14 Tm 0.250 0.241 0.497
15 Tm 0.250 0.150 0.195
16 Tm 0.250 0.447 0.102
17 Tm 0.750 0.953 0.102
18 Pm 0.250 0.347 0.796
19 Pm 0.250 0.551 0.401
20 Tm 0.250 0.656 0.700

Results
Density of states at the Fermi level   1.449 states/eV/atom
Energy of formation   28 meV/atom
Magnetization   0.00 μB/cell
Symmetry   P2_1/m
Excess energy over the best structure of this formula in the dataset   0.0 meV per atom

=====

13.
VASP calculation (PBE) on an optimized crystal structure of PmTmMg.

Cell: 6.481 6.481 5.325 Å, 90.00 90.00 63.75°
Positions (direct):
1 Tm 0.000 0.500 0.000
2 Mg 0.750 0.750 0.500
3 Mg 0.250 0.250 0.500
4 Pm 0.250 0.750 0.500
5 Pm 0.750 0.250 0.500
6 Tm 0.500 0.000 0.000

Results
Density of states at the Fermi level   1.453 states/eV/atom
Energy of formation   345 meV/atom
Magnetization   0.01 μB/cell
Symmetry   Pmmm
Excess energy over the best structure of this formula in the dataset   383.2 meV per atom

=====

14.
VASP calculation (PBE) on an optimized crystal structure of Pm3Tm3Mg2.

Cell: 5.311 6.427 15.698 Å, 90.00 90.00 114.40°
Positions (direct):
1 Mg 0.768 0.537 0.644
2 Mg 0.768 0.537 0.856
3 Tm 0.645 0.290 0.036
4 Pm 0.038 0.077 0.604
5 Pm 0.962 0.923 0.104
6 Mg 0.232 0.463 0.144
7 Tm 0.478 0.955 0.250
8 Mg 0.232 0.463 0.356
9 Tm 0.355 0.710 0.536
10 Tm 0.522 0.045 0.750
11 Pm 0.962 0.923 0.396
12 Tm 0.645 0.290 0.464
13 Pm 0.753 0.506 0.250
14 Pm 0.038 0.077 0.896
15 Tm 0.355 0.710 0.964
16 Pm 0.247 0.494 0.750

Results
Density of states at the Fermi level   1.168 states/eV/atom
Energy of formation   67 meV/atom
Magnetization   0.00 μB/cell
Symmetry   Cmcm

=====

15.
VASP calculation (PBE) on an optimized crystal structure of Pm4TmMg3.

Cell: 3.838 5.555 11.171 Å, 90.00 90.00 90.00°
Positions (direct):
1 Pm 0.000 0.000 0.500
2 Mg 0.500 0.000 0.750
3 Pm 0.000 0.500 0.259
4 Mg 0.500 0.500 0.500
5 Tm 0.500 0.500 0.000
6 Pm 0.000 0.500 0.741
7 Mg 0.500 0.000 0.250
8 Pm 0.000 0.000 0.000

Results
Density of states at the Fermi level   1.288 states/eV/atom
Energy of formation   -41 meV/atom
Magnetization   0.00 μB/cell
Symmetry   Pmmm

=====

16.
VASP calculation (PBE) on an optimized crystal structure of Pm3TmMg4.

Cell: 5.410 7.710 10.822 Å, 90.00 90.00 90.00°
Positions (direct):
1 Tm 0.000 0.500 0.000
2 Mg 0.500 0.256 0.000
3 Mg 0.002 0.256 0.250
4 Mg 0.002 0.744 0.250
5 Tm 0.000 0.500 0.500
6 Mg 0.500 0.744 0.500
7 Pm 0.501 0.000 0.250
8 Mg 0.500 0.256 0.500
9 Pm 0.501 0.500 0.250
10 Pm 0.000 0.000 0.000
11 Pm 0.499 0.500 0.750
12 Pm 0.000 0.000 0.500
13 Mg 0.998 0.744 0.750
14 Mg 0.500 0.744 0.000
15 Pm 0.499 0.000 0.750
16 Mg 0.998 0.256 0.750

Results
Density of states at the Fermi level   1.093 states/eV/atom
Energy of formation   -95 meV/atom
Magnetization   0.00 μB/cell
Symmetry   Pmma

=====

17.
VASP calculation (PBE) on an optimized crystal structure of Pm3TmMg6.

Cell: 5.307 9.378 11.355 Å, 105.36 90.00 90.00°
Positions (direct):
1 Mg 0.750 0.764 0.517
2 Mg 0.250 0.045 0.894
3 Mg 0.250 0.670 0.706
4 Mg 0.250 0.146 0.189
5 Mg 0.250 0.236 0.483
6 Mg 0.250 0.441 0.096
7 Pm 0.750 0.460 0.605
8 Mg 0.750 0.955 0.106
9 Tm 0.250 0.952 0.597
10 Mg 0.750 0.330 0.294
11 Pm 0.750 0.650 0.211
12 Pm 0.250 0.350 0.789
13 Mg 0.250 0.865 0.304
14 Tm 0.750 0.048 0.403
15 Pm 0.250 0.754 0.005
16 Mg 0.750 0.135 0.696
17 Mg 0.750 0.559 0.904
18 Pm 0.250 0.540 0.395
19 Pm 0.750 0.246 0.995
20 Mg 0.750 0.854 0.811

Results
Density of states at the Fermi level   1.033 states/eV/atom
Energy of formation   -70 meV/atom
Magnetization   0.00 μB/cell
Symmetry   P2_1/m

=====

18.
VASP calculation (PBE) on an optimized crystal structure of Pm6Tm8Mg.

Cell: 6.613 9.335 9.335 Å, 120.00 90.00 90.00°
Positions (direct):
1 Tm 0.896 0.981 0.313
2 Tm 0.104 0.313 0.332
3 Tm 0.896 0.687 0.668
4 Pm 0.601 0.919 0.598
5 Pm 0.399 0.081 0.402
6 Pm 0.601 0.402 0.321
7 Tm 0.896 0.332 0.019
8 Tm 0.833 0.333 0.667
9 Pm 0.601 0.679 0.081
10 Pm 0.399 0.598 0.679
11 Pm 0.399 0.321 0.919
12 Tm 0.167 0.667 0.333
13 Mg 0.500 0.000 0.000
14 Tm 0.104 0.668 0.981
15 Tm 0.104 0.019 0.687

Results
Density of states at the Fermi level   1.433 states/eV/atom
Energy of formation   251 meV/atom
Magnetization   0.00 μB/cell
Symmetry   P-3

=====

19.
VASP calculation (PBE) on an optimized crystal structure of Pm2Tm6Mg.

Cell: 4.988 10.461 10.460 Å, 90.00 90.00 90.00°
Positions (direct):
1 Tm 0.500 0.831 0.331
2 Pm 0.000 0.665 0.165
3 Tm 0.500 0.835 0.999
4 Tm 0.000 0.331 0.169
5 Tm 0.500 0.499 0.335
6 Tm 0.000 0.335 0.501
7 Mg 0.000 0.000 0.500
8 Mg 0.500 0.500 0.000
9 Tm 0.000 0.001 0.835
10 Tm 0.000 0.999 0.165
11 Pm 0.500 0.165 0.335
12 Pm 0.000 0.335 0.835
13 Tm 0.000 0.665 0.499
14 Tm 0.000 0.669 0.831
15 Tm 0.500 0.501 0.665
16 Tm 0.500 0.165 0.001
17 Tm 0.500 0.169 0.669
18 Pm 0.500 0.835 0.665

Results
Density of states at the Fermi level   1.448 states/eV/atom
Energy of formation   31 meV/atom
Magnetization   0.00 μB/cell
Symmetry   P4_2/mnm
Excess energy over the best structure of this formula in the dataset   0.0 meV per atom

=====

20.
VASP calculation (PBE) on an optimized crystal structure of Pm3Tm6Mg.

Cell: 8.950 8.803 8.803 Å, 116.49 90.00 90.00°
Positions (direct):
1 Tm 0.269 0.172 0.475
2 Tm 0.269 0.525 0.828
3 Mg 0.516 0.767 0.233
4 Pm 0.934 0.030 0.324
5 Pm 0.934 0.676 0.970
6 Tm 0.156 0.706 0.294
7 Tm 0.286 0.935 0.065
8 Tm 0.100 0.849 0.716
9 Tm 0.600 0.151 0.284
10 Pm 0.919 0.463 0.537
11 Tm 0.769 0.475 0.172
12 Tm 0.769 0.828 0.525
13 Mg 0.016 0.233 0.767
14 Tm 0.786 0.065 0.935
15 Pm 0.419 0.537 0.463
16 Pm 0.434 0.324 0.030
17 Tm 0.656 0.294 0.706
18 Tm 0.100 0.284 0.151
19 Tm 0.600 0.716 0.849
20 Pm 0.434 0.970 0.676

Results
Density of states at the Fermi level   1.157 states/eV/atom
Energy of formation   127 meV/atom
Magnetization   0.00 μB/cell
Symmetry   Cmc2_1
Excess energy over the best structure of this formula in the dataset   98.7 meV per atom

=====

21.
VASP calculation (PBE) on an optimized crystal structure of Pm2YTm4Mg.

Cell: 4.939 4.952 11.205 Å, 63.72 90.00 90.00°
Positions (direct):
1 Tm 0.500 0.751 0.249
2 Pm 0.500 0.000 0.500
3 Tm 0.500 0.249 0.751
4 Tm 0.000 0.748 0.751
5 Mg 0.500 0.500 0.000
6 Pm 0.000 0.000 0.000
7 Tm 0.000 0.252 0.249
8 Y 0.000 0.500 0.500

Results
Density of states at the Fermi level   1.555 states/eV/atom
Energy of formation   35 meV/atom
Magnetization   0.01 μB/cell
Symmetry   P2/m

=====

no.,calculated volume (Å³/cell)
1,117.2
2,300.4
3,487.6
4,277.7
5,291.1
6,150.3
7,176.6
8,119.6
9,256.9
10,321.7
11,355.7
12,616.6
13,200.6
14,487.9
15,238.2
16,451.4
17,544.9
18,499.1
19,545.8
20,620.8
21,245.7